## LaInWO2 (PBE with a Hubbard U)

Data for crystalline LaInWO2 at its relaxed geometry.

abc: 4.3292 4.3292 6.1730
angles: 90.00 90.00 90.00
Last column: nearest neighbours and their distance in Å.
Atoms (fractional coordinates):
La  0.0000  0.0000  0.0000  4 W 3.06, 2 In 3.09
In  0.0000  0.0000  0.5000  4 O 2.16
W  0.5000  0.5000  0.0000  4 La 3.06
O  0.0000  0.5000  0.5000  2 In 2.16
O  0.5000  0.0000  0.5000  2 In 2.16

Uncorrected energy: -22.0 eV for the cell shown
Symmetry: P4/mmm
Total moment: 3.1 Bohr magnetons per cell